(1)
# Zr2Pt2I, relaxed, DFT GGA-PBE
# Volume ... 214.0 Å³ per cell
# Magnetic moment ... 0.00 Bohr magnetons per cell
# E ... -6.785 eV/atom
data_Zr2Pt2I
_cell_length_a 7.847
_cell_length_b 7.847
_cell_length_c 3.476
_cell_angle_alpha 90.00
_cell_angle_beta 90.00
_cell_angle_gamma 90.00
_symmetry_space_group_name_H-M 'P 4/m b m'
_symmetry_Int_Tables_number 127
_symmetry_space_group_name_Hall '-P 4 2ab'
loop_
_atom_site_label
_atom_site_fract_x
_atom_site_fract_y
_atom_site_fract_z
Zr1 0.157 0.343 0.000
Pt1 0.129 0.629 0.500
I1 0.000 0.000 0.000

---

(2)
# Zr2PtI2, relaxed, DFT GGA-PBE
# Volume ... 229.9 Å³ per cell
# Magnetic moment ... 0.00 Bohr magnetons per cell
# Offset from the most stable computed form ... 0.000 eV/atom
data_Zr2PtI2
_cell_length_a 8.220
_cell_length_b 8.220
_cell_length_c 3.402
_cell_angle_alpha 90.00
_cell_angle_beta 90.00
_cell_angle_gamma 90.00
_symmetry_space_group_name_H-M 'P 4/m b m'
_symmetry_Int_Tables_number 127
_symmetry_space_group_name_Hall '-P 4 2ab'
loop_
_atom_site_label
_atom_site_fract_x
_atom_site_fract_y
_atom_site_fract_z
Zr1 0.159 0.341 0.000
Pt1 0.000 0.000 0.500
I1 0.141 0.641 0.500

---

(3)
# ZrPtI3, relaxed, DFT GGA-PBE
# Volume ... 160.9 Å³ per cell
# Magnetic moment ... 2.28 Bohr magnetons per cell
# Offset from the most stable computed form ... 0.035 eV/atom
data_ZrPtI3
_cell_length_a 5.439
_cell_length_b 5.439
_cell_length_c 5.439
_cell_angle_alpha 90.00
_cell_angle_beta 90.00
_cell_angle_gamma 90.00
_symmetry_space_group_name_H-M 'P m -3 m'
_symmetry_Int_Tables_number 221
_symmetry_space_group_name_Hall '-P 4 2 3'
loop_
_atom_site_label
_atom_site_fract_x
_atom_site_fract_y
_atom_site_fract_z
Zr1 0.000 0.000 0.000
Pt1 0.500 0.500 0.500
I1 0.000 0.500 0.500

---

(4)
# ZrPtI3, relaxed, DFT GGA-PBE
# Volume ... 180.4 Å³ per cell
# Magnetic moment ... 0.31 Bohr magnetons per cell
# Offset from the most stable computed form ... 0.000 eV/atom
data_ZrPtI3
_cell_length_a 5.650
_cell_length_b 5.650
_cell_length_c 5.650
_cell_angle_alpha 90.00
_cell_angle_beta 90.00
_cell_angle_gamma 90.00
_symmetry_space_group_name_H-M 'P m -3 m'
_symmetry_Int_Tables_number 221
_symmetry_space_group_name_Hall '-P 4 2 3'
loop_
_atom_site_label
_atom_site_fract_x
_atom_site_fract_y
_atom_site_fract_z
Zr1 0.000 0.000 0.000
Pt1 0.500 0.500 0.500
I1 0.000 0.000 0.500

---

(5)
# Zr2PtI2, relaxed, DFT GGA-PBE
# Volume ... 273.5 Å³ per cell
# Magnetic moment ... 0.00 Bohr magnetons per cell
# Offset from the most stable computed form ... 0.175 eV/atom
data_Zr2PtI2
_cell_length_a 5.024
_cell_length_b 5.024
_cell_length_c 10.835
_cell_angle_alpha 90.00
_cell_angle_beta 90.00
_cell_angle_gamma 90.00
_symmetry_space_group_name_H-M 'I 4/m m m'
_symmetry_Int_Tables_number 139
_symmetry_space_group_name_Hall '-I 4 2'
loop_
_atom_site_label
_atom_site_fract_x
_atom_site_fract_y
_atom_site_fract_z
Zr1 0.000 0.500 0.250
Pt1 0.000 0.000 0.000
I1 0.000 0.000 0.361

---

(6)
# ZrPt2I, relaxed, DFT GGA-PBE
# Volume ... 428.3 Å³ per cell
# Magnetic moment ... 0.00 Bohr magnetons per cell
# Offset from the most stable computed form ... 0.064 eV/atom
data_ZrPt2I
_cell_length_a 6.882
_cell_length_b 6.882
_cell_length_c 9.045
_cell_angle_alpha 90.00
_cell_angle_beta 90.00
_cell_angle_gamma 90.00
_symmetry_space_group_name_H-M 'I -4 2 d'
_symmetry_Int_Tables_number 122
_symmetry_space_group_name_Hall 'I -4 2bw'
loop_
_atom_site_label
_atom_site_fract_x
_atom_site_fract_y
_atom_site_fract_z
Zr1 0.000 0.000 0.000
Pt1 0.231 0.750 0.125
I1 0.000 0.000 0.500

---

(7)
# PuI2, relaxed, DFT GGA-PBE
# Volume ... 265.6 Å³ per cell
# Magnetic moment ... 12.00 Bohr magnetons per cell
# E ... -6.789 eV/atom
data_PuI2
_cell_length_a 7.732
_cell_length_b 7.732
_cell_length_c 4.442
_cell_angle_alpha 90.00
_cell_angle_beta 90.00
_cell_angle_gamma 90.00
_symmetry_space_group_name_H-M 'P 42/m n m'
_symmetry_Int_Tables_number 136
_symmetry_space_group_name_Hall '-P 4n 2n'
loop_
_atom_site_label
_atom_site_fract_x
_atom_site_fract_y
_atom_site_fract_z
Pu1 0.000 0.000 0.000
I1 0.206 0.206 0.500

---

(8)
# PuI, relaxed, DFT GGA-PBE
# Volume ... 133.2 Å³ per cell
# Magnetic moment ... 4.00 Bohr magnetons per cell
# E ... -8.083 eV/atom
data_PuI
_cell_length_a 4.562
_cell_length_b 3.643
_cell_length_c 8.070
_cell_angle_alpha 90.00
_cell_angle_beta 96.63
_cell_angle_gamma 90.00
_symmetry_space_group_name_H-M 'P 1 21/m 1'
_symmetry_Int_Tables_number 11
loop_
_symmetry_equiv_pos_as_xyz
'x,y,z'
'-x,-y,-z'
'-x,y+1/2,-z'
'x,-y+1/2,z'
loop_
_atom_site_label
_atom_site_fract_x
_atom_site_fract_y
_atom_site_fract_z
Pu1 0.165 0.250 0.014
I1 0.284 0.750 0.712